Entry 1:
This record from Alexandria via LeMat-Bulk describes a geometry-optimized K3LiPa2S6 structure. The functional is PBE.

Calculated values
VASP energy in eV/atom: -5.592
Theoretical density in g cm⁻³: 4.08
Symmetry: C2/m (12)
Density of states at the Fermi level in states/eV per cell: 11.530

Structure (POSCAR):
```
K3LiPa2S6
1.0
3.526 -6.111 0.000
3.526 6.111 0.000
-2.337 0.000 7.350
K Li Pa S
3 1 2 6
direct
0.000 0.000 0.000
0.340 0.660 0.000
0.660 0.340 0.000
0.500 0.500 0.500
0.167 0.833 0.500
0.833 0.167 0.500
0.084 0.433 0.297
0.220 0.220 0.700
0.433 0.084 0.297
0.567 0.916 0.703
0.780 0.780 0.300
0.916 0.567 0.703
```

Entry 2:
This record from Alexandria via LeMat-Bulk describes a geometry-optimized CaTcW2 structure. The functional is PBE.

Calculated values
Polymorph energy (0 for the lowest one) in meV/atom: 202
Theoretical density in g cm⁻³: 12.18
Symmetry: F-43m (216)
Density of states at the Fermi level in states/eV per cell: 3.741
DFT formation energy in eV per atom: 0.696

Structure (POSCAR):
```
CaTcW2
1.0
0.000 3.255 3.255
3.255 0.000 3.255
3.255 3.255 0.000
Ca Tc W
1 1 2
direct
0.000 0.000 0.000
0.750 0.750 0.750
0.250 0.250 0.250
0.500 0.500 0.500
```

Entry 3:
This record from Alexandria via LeMat-Bulk describes a geometry-optimized ZrCuB2 structure. The functional is PBE.

Calculated values
Polymorph energy (0 for the lowest one) in meV/atom: 0
Theoretical density in g cm⁻³: 5.92
Symmetry: I4_1/amd (141)
Density of states at the Fermi level in states/eV per cell: 2.109
DFT formation energy in eV per atom: 0.060

Structure (POSCAR):
```
ZrCuB2
1.0
-1.912 1.912 6.773
1.912 -1.912 6.773
1.912 1.912 -6.773
Zr Cu B
2 2 4
direct
0.375 0.625 0.750
0.625 0.375 0.250
0.125 0.875 0.250
0.875 0.125 0.750
0.000 0.000 0.000
0.000 0.000 0.500
0.000 0.500 0.000
0.500 0.000 0.500
```

Entry 4:
This record from Alexandria via LeMat-Bulk describes a geometry-optimized La2SiP structure. The functional is PBE.

Calculated values
Polymorph energy (0 for the lowest one) in meV/atom: 798
Theoretical density in g cm⁻³: 5.57
Symmetry: P4mm (99)
Density of states at the Fermi level in states/eV per cell: 4.003

Structure (POSCAR):
```
La2SiP
1.0
3.424 0.000 0.000
0.000 3.424 0.000
0.000 0.000 8.564
La Si P
2 1 1
direct
0.000 0.000 0.000
0.500 0.500 0.418
0.500 0.500 0.759
0.000 0.000 0.651
```

Entry 5:
This record from Alexandria via LeMat-Bulk describes a geometry-optimized SmY8Ir6 structure. The functional is PBE.

Calculated values
Theoretical density in g cm⁻³: 9.27
Symmetry: R-3 (148)
Density of states at the Fermi level in states/eV per cell: 10.040
DFT formation energy in eV per atom: -0.740

Structure (POSCAR):
```
SmY8Ir6
1.0
4.165 2.405 6.009
-4.165 2.405 6.009
0.000 -4.809 6.009
Sm Y Ir
1 8 6
direct
0.000 0.000 0.000
0.110 0.777 0.450
0.223 0.550 0.890
0.334 0.334 0.334
0.450 0.110 0.777
0.550 0.890 0.223
0.666 0.666 0.666
0.777 0.450 0.110
0.890 0.223 0.550
0.057 0.391 0.723
0.277 0.943 0.609
0.391 0.723 0.057
0.609 0.277 0.943
0.723 0.057 0.391
0.943 0.609 0.277
```

Entry 6:
This record from Alexandria via LeMat-Bulk describes a geometry-optimized Sr4In2Ga structure. The functional is PBE.

Calculated values
Theoretical density in g cm⁻³: 4.12
Symmetry: R-3m (166)
Density of states at the Fermi level in states/eV per cell: 8.928
DFT formation energy in eV per atom: -0.316

Structure (POSCAR):
```
Sr4In2Ga
1.0
2.846 1.643 9.334
-2.846 1.643 9.334
0.000 -3.286 9.334
Sr In Ga
4 2 1
direct
0.123 0.123 0.123
0.374 0.374 0.374
0.626 0.626 0.626
0.877 0.877 0.877
0.251 0.251 0.251
0.749 0.749 0.749
0.000 0.000 0.000
```

Entry 7:
This record from Alexandria via LeMat-Bulk describes a geometry-optimized LiScPb structure. The functional is PBE.

Calculated values
Theoretical density in g cm⁻³: 6.28
Symmetry: P-1 (2)
Density of states at the Fermi level in states/eV per cell: 4.118
DFT formation energy in eV per atom: -0.260

Structure (POSCAR):
```
LiScPb
1.0
3.387 0.000 0.000
0.989 5.063 0.000
1.262 0.800 7.994
Li Sc Pb
2 2 2
direct
0.222 0.496 0.157
0.778 0.504 0.843
0.170 0.010 0.669
0.830 0.990 0.331
0.500 0.000 0.000
0.500 0.500 0.500
```

Entry 8:
This record from Alexandria via LeMat-Bulk describes a geometry-optimized DyErGe2 structure. The functional is PBE.

Calculated values
Polymorph energy (0 for the lowest one) in meV/atom: 221
Theoretical density in g cm⁻³: 7.99
Symmetry: R-3m (166)
Density of states at the Fermi level in states/eV per cell: 4.024
DFT formation energy in eV per atom: -0.642

Structure (POSCAR):
```
DyErGe2
1.0
1.949 1.125 7.505
-1.949 1.125 7.505
0.000 -2.250 7.505
Dy Er Ge
1 1 2
direct
0.000 0.000 0.000
0.500 0.500 0.500
0.249 0.249 0.249
0.751 0.751 0.751
```

Entry 9:
This record from Alexandria via LeMat-Bulk describes a geometry-optimized AcMgTe structure. The functional is PBE.

Calculated values
Polymorph energy (0 for the lowest one) in meV/atom: 98
Theoretical density in g cm⁻³: 6.62
Symmetry: P-6m2 (187)
Density of states at the Fermi level in states/eV per cell: 2.454

Structure (POSCAR):
```
AcMgTe
1.0
5.134 0.000 0.000
-2.567 4.447 0.000
0.000 0.000 4.160
Ac Mg Te
1 1 1
direct
0.000 0.000 0.000
0.333 0.667 0.500
0.667 0.333 0.500
```

Entry 10:
This record from Alexandria via LeMat-Bulk describes a geometry-optimized CsZnCdAu structure. The functional is PBE.

Calculated values
Theoretical density in g cm⁻³: 6.40
Symmetry: R3m (160)
Density of states at the Fermi level in states/eV per cell: 2.212
DFT formation energy in eV per atom: -0.183

Structure (POSCAR):
```
CsZnCdAu
1.0
2.380 1.374 6.715
-2.380 1.374 6.715
0.000 -2.748 6.715
Cs Zn Cd Au
1 1 1 1
direct
0.000 0.000 0.000
0.519 0.519 0.519
0.817 0.817 0.817
0.186 0.186 0.186
```

Entry 11:
This record from Alexandria via LeMat-Bulk describes a geometry-optimized Ac9La4Cd11 structure. The functional is PBE.

Calculated values
Theoretical density in g cm⁻³: 7.96
Symmetry: Cmmm (65)
Density of states at the Fermi level in states/eV per cell: 25.413
DFT formation energy in eV per atom: -0.234

Structure (POSCAR):
```
Ac9La4Cd11
1.0
8.549 -12.069 0.000
8.549 12.069 0.000
0.000 0.000 3.878
Ac La Cd
9 4 11
direct
0.000 0.000 0.000
0.122 0.649 0.000
0.293 0.467 0.000
0.351 0.878 0.000
0.467 0.293 0.000
0.533 0.707 0.000
0.649 0.122 0.000
0.707 0.533 0.000
0.878 0.351 0.000
0.067 0.249 0.000
0.249 0.067 0.000
0.751 0.933 0.000
0.933 0.751 0.000
0.086 0.444 0.500
0.132 0.868 0.500
0.256 0.256 0.500
0.328 0.672 0.500
0.444 0.086 0.500
0.500 0.500 0.500
0.556 0.914 0.500
0.672 0.328 0.500
0.744 0.744 0.500
0.868 0.132 0.500
0.914 0.556 0.500
```

Entry 12:
This record from Alexandria via LeMat-Bulk describes a geometry-optimized Ni2PCl structure. The functional is PBE.

Calculated values
Polymorph energy (0 for the lowest one) in meV/atom: 0
Theoretical density in g cm⁻³: 4.98
Symmetry: Pmm2 (25)
Density of states at the Fermi level in states/eV per cell: 2.507

Structure (POSCAR):
```
Ni2PCl
1.0
3.197 0.000 0.000
0.000 3.259 0.000
0.000 0.000 5.883
Ni P Cl
2 1 1
direct
0.000 0.000 0.000
0.000 0.500 0.338
0.500 0.500 0.088
0.000 0.000 0.609
```

Entry 13:
This record from Alexandria via LeMat-Bulk describes a geometry-optimized Er5Al2Pd12 structure. The functional is PBE.

Calculated values
Theoretical density in g cm⁻³: 9.53
Symmetry: C2/m (12)
Density of states at the Fermi level in states/eV per cell: 9.476
DFT formation energy in eV per atom: -0.663

Structure (POSCAR):
```
Er5Al2Pd12
1.0
7.775 -2.862 0.000
7.775 2.862 0.000
-4.610 0.000 8.486
Er Al Pd
5 2 12
direct
0.000 0.000 0.000
0.302 0.302 0.244
0.329 0.329 0.746
0.671 0.671 0.254
0.698 0.698 0.756
0.243 0.757 0.500
0.757 0.243 0.500
0.078 0.609 0.514
0.102 0.594 0.008
0.128 0.128 0.731
0.391 0.922 0.486
0.406 0.898 0.992
0.490 0.490 0.269
0.510 0.510 0.731
0.594 0.102 0.008
0.609 0.078 0.514
0.872 0.872 0.269
0.898 0.406 0.992
0.922 0.391 0.486
```

Entry 14:
This record from Alexandria via LeMat-Bulk describes a geometry-optimized K2HgPt3 structure. The functional is PBE.

Calculated values
Theoretical density in g cm⁻³: 11.10
Symmetry: C2/m (12)
Density of states at the Fermi level in states/eV per cell: 2.229
DFT formation energy in eV per atom: -0.194

Structure (POSCAR):
```
K2HgPt3
1.0
4.865 -2.815 0.000
4.865 2.815 0.000
-3.225 0.000 4.722
K Hg Pt
2 1 3
direct
0.122 0.122 0.367
0.878 0.878 0.633
0.500 0.500 0.500
0.000 0.500 0.000
0.500 0.000 0.000
0.500 0.500 0.000
```

Entry 15:
This record from Alexandria via LeMat-Bulk describes a geometry-optimized Pm5Pr3Dy structure. The functional is PBE.

Calculated values
Theoretical density in g cm⁻³: 6.47
Symmetry: C2/m (12)
Density of states at the Fermi level in states/eV per cell: 25.543
DFT formation energy in eV per atom: 0.378

Structure (POSCAR):
```
Pm5Pr3Dy
1.0
8.519 -4.211 0.000
8.519 4.211 0.000
-8.270 0.000 9.367
Pm Pr Dy
10 6 2
direct
0.019 0.408 0.775
0.058 0.058 0.421
0.182 0.818 0.000
0.344 0.344 0.651
0.408 0.019 0.775
0.592 0.981 0.225
0.656 0.656 0.349
0.818 0.182 0.000
0.942 0.942 0.579
0.981 0.592 0.225
0.138 0.138 0.944
0.207 0.207 0.308
0.500 0.500 0.000
0.500 0.500 0.500
0.793 0.793 0.692
0.862 0.862 0.056
0.387 0.387 0.127
0.613 0.613 0.873
```

Entry 16:
This record from Alexandria via LeMat-Bulk describes a geometry-optimized HfHgPd3 structure. The functional is PBE.

Calculated values
Polymorph energy (0 for the lowest one) in meV/atom: 1400
Theoretical density in g cm⁻³: 9.78
Symmetry: Pm-3m (221)
Density of states at the Fermi level in states/eV per cell: 5.610
DFT formation energy in eV per atom: 0.898

Structure (POSCAR):
```
HfHgPd3
1.0
4.912 0.000 0.000
0.000 4.912 0.000
0.000 0.000 4.912
Hf Hg Pd
1 1 3
direct
0.000 0.000 0.000
0.500 0.500 0.500
0.000 0.500 0.500
0.500 0.000 0.500
0.500 0.500 0.000
```

Entry 17:
This record from Alexandria via LeMat-Bulk describes a geometry-optimized SrInN2 structure. The functional is PBE.

Calculated values
VASP energy in eV/atom: -5.203
Theoretical density in g cm⁻³: 5.38
Symmetry: I-42d (122)
Density of states at the Fermi level in states/eV per cell: 5.303

Structure (POSCAR):
```
SrInN2
1.0
-3.064 3.064 3.784
3.064 -3.064 3.784
3.064 3.064 -3.784
Sr In N
2 2 4
direct
0.000 0.000 0.000
0.750 0.250 0.500
0.250 0.750 0.500
0.500 0.500 0.000
0.176 0.625 0.051
0.375 0.426 0.551
0.574 0.125 0.949
0.875 0.824 0.449
```

Entry 18:
This record from Alexandria via LeMat-Bulk describes a geometry-optimized LaHg6 structure. The functional is PBE.

Calculated values
Theoretical density in g cm⁻³: 11.55
Symmetry: P4/mmm (123)
Density of states at the Fermi level in states/eV per cell: 4.333
DFT formation energy in eV per atom: -0.241

Structure (POSCAR):
```
LaHg6
1.0
5.100 0.000 0.000
0.000 5.100 0.000
0.000 0.000 7.419
La Hg
1 6
direct
0.000 0.000 0.000
0.000 0.000 0.500
0.000 0.500 0.281
0.000 0.500 0.719
0.500 0.000 0.281
0.500 0.000 0.719
0.500 0.500 0.000
```

Entry 19:
This record from Alexandria via LeMat-Bulk describes a geometry-optimized AlP3N structure. The functional is PBE.

Calculated values
Polymorph energy (0 for the lowest one) in meV/atom: 993
Theoretical density in g cm⁻³: 2.24
Symmetry: Pm-3m (221)
Density of states at the Fermi level in states/eV per cell: 2.816

Structure (POSCAR):
```
AlP3N
1.0
4.630 0.000 0.000
0.000 4.630 0.000
0.000 0.000 4.630
Al P N
1 3 1
direct
0.000 0.000 0.000
0.000 0.000 0.500
0.000 0.500 0.000
0.500 0.000 0.000
0.500 0.500 0.500
```

Entry 20:
This record from Alexandria via LeMat-Bulk describes a geometry-optimized Y2Al3CuAu4 structure. The functional is PBE.

Calculated values
Theoretical density in g cm⁻³: 9.33
Symmetry: P-4m2 (115)
Density of states at the Fermi level in states/eV per cell: 6.679
DFT formation energy in eV per atom: -0.612

Structure (POSCAR):
```
Y2Al3CuAu4
1.0
4.304 0.000 0.000
0.000 4.304 0.000
0.000 0.000 10.666
Y Al Cu Au
2 3 1 4
direct
0.000 0.500 0.246
0.500 0.000 0.754
0.000 0.000 0.000
0.000 0.500 0.632
0.500 0.000 0.368
0.500 0.500 0.000
0.000 0.000 0.500
0.000 0.500 0.863
0.500 0.000 0.137
0.500 0.500 0.500
```